Entry 1:
The following is a DFT calculation (meta-GGA SCAN) of a crystal of Mn2PPb relaxed with PBEsol.

Values from the calculation:
**E_tot**: -30.54 eV per atom
**Energy of formation from the pure elements**: 0.1289 eV per atom

Cell: 3.834 3.834 5.217 Å, 111.56 111.56 90.00°
Element x y z (fractional)
1 Mn 0.750 0.250 0.500
2 P 0.500 0.500 0.000
3 Mn 0.000 0.000 0.000
4 Pb 0.250 0.750 0.500

=====

Entry 2:
The following is a DFT calculation (meta-GGA SCAN) of a crystal of RbSrTl2 relaxed with PBEsol.

Values from the calculation:
**E_tot**: -47.20 eV per atom
**Energy of formation from the pure elements**: -0.2644 eV per atom

Cell: 5.840 5.840 5.840 Å, 60.00 60.00 60.00°
Element x y z (fractional)
1 Rb 0.000 0.000 0.000
2 Tl 0.250 0.250 0.250
3 Sr 0.500 0.500 0.500
4 Tl 0.750 0.750 0.750

=====

Entry 3:
The following is a DFT calculation (meta-GGA SCAN) of a crystal of Sc2CoSi2 relaxed with PBEsol.

Values from the calculation:
**ΔE_f (raw)**: -821 meV per atom
**E_tot**: -13.98 eV per atom

Cell: 3.913 5.266 8.418 Å, 82.61 76.56 68.19°
Element x y z (fractional)
1 Si 0.145 0.279 0.430
2 Sc 0.316 0.263 0.105
3 Si 0.855 0.721 0.570
4 Sc 0.500 0.671 0.328
5 Co 0.226 0.924 0.624
6 Si 0.011 0.851 0.126
7 Sc 0.500 0.329 0.672
8 Sc 0.684 0.737 0.895
9 Si 0.989 0.149 0.874
10 Co 0.774 0.076 0.376

=====

Entry 4:
The following is a DFT calculation (meta-GGA SCAN) of a crystal of NbMo relaxed with PBEsol.

Values from the calculation:
**E_tot**: -34.08 eV per atom
**Energy of formation from the pure elements**: -0.0703 eV per atom

Cell: 2.780 2.780 4.494 Å, 90.00 90.00 109.75°
Element x y z (fractional)
1 Mo 0.000 0.000 0.000
2 Nb 0.500 0.500 0.500

=====

Entry 5:
The following is a DFT calculation (meta-GGA SCAN) of a crystal of Mg3BeAl8O16 relaxed with PBEsol.

Values from the calculation:
**ΔE_f (raw)**: -3284 meV per atom
**E_tot**: -9.75 eV per atom

Cell: 5.677 5.677 18.445 Å, 90.00 90.00 120.00°
Element x y z (fractional)
1 O 0.815 0.630 0.142
2 O 0.482 0.965 0.508
3 Al 0.670 0.835 0.448
4 O 0.518 0.482 0.008
5 O 0.333 0.667 0.152
6 O 0.518 0.035 0.008
7 Mg 0.000 0.000 0.108
8 Al 0.996 0.498 0.203
9 O 0.705 0.853 0.889
10 Al 0.835 0.165 0.948
11 O 0.667 0.333 0.254
12 O 0.185 0.815 0.642
13 O 0.822 0.643 0.765
14 Al 0.498 0.996 0.703
15 Al 0.498 0.502 0.703
16 Mg 0.333 0.667 0.857
17 O 0.178 0.357 0.265
18 Al 0.165 0.835 0.448
19 O 0.000 0.000 0.003
20 O 0.482 0.518 0.508
21 Al 0.835 0.670 0.948
22 O 0.815 0.185 0.142
23 O 0.822 0.178 0.765
24 Al 0.000 0.000 0.317
25 O 0.965 0.482 0.008
26 O 0.035 0.518 0.508
27 O 0.185 0.370 0.642
28 O 0.357 0.178 0.765
29 O 0.147 0.295 0.889
30 Al 0.165 0.330 0.448
31 Be 0.667 0.333 0.808
32 Mg 0.333 0.667 0.045
33 O 0.147 0.853 0.889
34 O 0.643 0.822 0.265
35 O 0.667 0.333 0.652
36 O 0.178 0.822 0.265
37 Mg 0.667 0.333 0.545
38 Al 0.004 0.502 0.703
39 O 0.667 0.333 0.893
40 O 0.370 0.185 0.142
41 O 0.853 0.705 0.389
42 O 0.333 0.667 0.393
43 Mg 0.000 0.000 0.608
44 Al 0.502 0.498 0.203
45 Mg 0.667 0.333 0.357
46 Be 0.333 0.667 0.308
47 O 0.295 0.147 0.389
48 Al 0.502 0.004 0.203
49 O 0.853 0.147 0.389
50 O 0.333 0.667 0.754
51 Al 0.330 0.165 0.948
52 O 0.630 0.815 0.642
53 O 0.000 0.000 0.503
54 Al 0.000 0.000 0.817
55 Al 0.667 0.333 0.075
56 Al 0.333 0.667 0.575

=====

Entry 6:
The following is a DFT calculation (meta-GGA SCAN) of a crystal of PRhIN2 relaxed with PBEsol.

Values from the calculation:
**ΔE_f (raw)**: 1371 meV per atom
**E_tot**: -18.53 eV per atom

Cell: 3.728 3.728 7.377 Å, 90.00 90.00 90.00°
Element x y z (fractional)
1 I 0.000 0.000 0.500
2 P 0.500 0.500 0.500
3 N 0.000 0.500 0.000
4 N 0.500 0.000 0.000
5 Rh 0.000 0.000 0.000